A plane-wave DFT calculation with PBE was carried out for crystalline Ba3GaAg2O6 at its relaxed geometry.

Cell: 6.058 6.058 6.753 Å, 90.00 90.00 120.00°
Fractional coordinates of all 12 atoms:
O 0.843 0.686 0.677
O 0.686 0.843 0.323
O 0.157 0.843 0.323
O 0.314 0.157 0.677
O 0.157 0.314 0.323
O 0.843 0.157 0.677
Ag 0.667 0.333 0.853
Ag 0.333 0.667 0.147
Ba 0.333 0.667 0.627
Ba 0.667 0.333 0.373
Ba 0.000 0.000 0.000
Ga 0.000 0.000 0.500

Mass density: 6139 kg/m³
Formation energy (no corrections): -1.4866 eV per atom